(1)
Below is Tm4ThTl5 after structural relaxation, with properties calculated at the PBE-GGA level.

Cell: 3.6996 3.6996 19.6997 Å, 90.00 90.00 90.00°
Element x y z (fractional)
Tl  0.5000  0.5000  0.1112
Tl  0.5000  0.5000  0.6932
Tm  0.0000  0.0000  0.4028
Tl  0.5000  0.5000  0.5000
Tm  0.0000  0.0000  0.7928
Th  0.0000  0.0000  0.0000
Tm  0.0000  0.0000  0.2072
Tl  0.5000  0.5000  0.3068
Tl  0.5000  0.5000  0.8888
Tm  0.0000  0.0000  0.5972

Summary:
Total moment, μB per cell: 0.000
Space group: No. 123
DFT formation energy, eV per atom: -0.26

***

(2)
Below is TmTh2Tl after structural relaxation, with properties calculated at the PBE-GGA level.

Cell: 5.0969 4.8067 4.8067 Å, 90.00 90.00 90.00°
Element x y z (fractional)
Th  0.0000  0.0000  0.5000
Tm  0.5000  0.5000  0.5000
Th  0.0000  0.5000  0.0000
Tl  0.5000  0.0000  0.0000

Summary:
Distance to the lowest polymorph of the same formula, meV per atom: 0
Total moment, μB per cell: 0.000
Space group: No. 123
DFT formation energy, eV per atom: -0.09

***

(3)
Below is TmTh2Tl after structural relaxation, with properties calculated at the PBE-GGA level.

Cell: 3.5241 3.5241 11.7061 Å, 81.34 81.34 60.00°
Element x y z (fractional)
Th  0.0847  0.0847  0.7460
Tl  0.5005  0.5005  0.4985
Tm  0.6662  0.6662  0.0014
Th  0.2486  0.2486  0.2541

Summary:
Distance to the lowest polymorph of the same formula, meV per atom: 111
Total moment, μB per cell: 0.000
Space group: No. 160
DFT formation energy, eV per atom: 0.02

***

(4)
Below is Tm3Th2Tl4 after structural relaxation, with properties calculated at the PBE-GGA level.

Cell: 6.9520 8.8552 9.2069 Å, 90.00 112.18 90.00°
Element x y z (fractional)
Tm  0.0000  0.0000  0.0000
Tm  0.5323  0.7500  0.5647
Th  0.6079  0.9166  0.2158
Tm  0.5000  0.5000  0.0000
Tl  0.6793  0.5492  0.3587
Tl  0.8207  0.0492  0.6413
Th  0.1079  0.5834  0.2158
Tl  0.3207  0.4508  0.6413
Tl  0.7082  0.7500  0.9165
Tm  0.4677  0.2500  0.4353
Tl  0.1793  0.9508  0.3587
Tl  0.2082  0.7500  0.9165
Tm  0.0323  0.7500  0.5647
Th  0.3921  0.0834  0.7842
Tl  0.7918  0.2500  0.0835
Th  0.8921  0.4166  0.7842
Tl  0.2918  0.2500  0.0835
Tm  0.9677  0.2500  0.4353

Summary:
Total moment, μB per cell: 0.000
Space group: No. 64
DFT formation energy, eV per atom: -0.14